(1)
DFT (GGA-PBE) results for a relaxed structure of Tc2NiBr.

The structure in POSCAR format:
```
Tc2NiBr
1.0
8.5248 0.0047 0.0028
8.0332 2.8528 0.0028
8.0332 1.3863 2.4933
Br Ni Tc
1 1 2
direct
0.4971 0.4971 0.4971 Br
0.7490 0.7490 0.7490 Ni
0.0011 0.0011 0.0011 Tc
0.2528 0.2528 0.2528 Tc
```

Energy relative to the elements, uncorrected in eV/atom: 0.4858
Symmetry: R3m, No. 160



(2)
DFT (GGA-PBE) results for a relaxed structure of Pa3S5O.

The structure in POSCAR format:
```
Pa3S5O
1.0
7.3872 -0.1055 -0.2423
1.9208 7.1339 -0.2423
2.4704 1.8654 8.1808
Pa S O
6 10 2
direct
0.6566 0.6566 0.8398 Pa
0.7199 0.7199 0.4018 Pa
0.0000 0.0000 0.0000 Pa
0.0000 0.0000 0.5000 Pa
0.3434 0.3434 0.1602 Pa
0.2801 0.2801 0.5982 Pa
0.0032 0.3755 0.3720 S
0.2933 0.7067 0.0000 S
0.7608 0.7608 0.0720 S
0.4829 0.4829 0.3392 S
0.5171 0.5171 0.6608 S
0.2392 0.2392 0.9280 S
0.3755 0.0032 0.3720 S
0.7067 0.2933 0.0000 S
0.9968 0.6245 0.6280 S
0.6245 0.9968 0.6280 S
0.0695 0.0695 0.7180 O
0.9305 0.9305 0.2820 O
```

Energy relative to the elements, uncorrected in eV/atom: -1.8116
Symmetry: C2/m, No. 12



(3)
DFT (GGA-PBE) results for a relaxed structure of MgIn2P.

The structure in POSCAR format:
```
MgIn2P
1.0
3.6698 0.0000 0.0000
0.0000 3.6698 0.0000
0.0000 0.0000 7.6001
In Mg P
2 1 1
direct
0.0000 0.0000 0.0113 In
0.5000 0.5000 0.2676 In
0.0000 0.0000 0.6141 Mg
0.5000 0.5000 0.6070 P
```

E_form in meV/atom: -49.2
Symmetry: P4mm, No. 99



(4)
DFT (GGA-PBE) results for a relaxed structure of Tb2CeGe2.

The structure in POSCAR format:
```
Tb2CeGe2
1.0
-1.7589 -4.8354 -2.4047
5.1802 -2.8467 -4.7720
3.4010 -6.0919 3.0549
Tb Ce Ge
4 2 4
direct
0.6517 0.2585 0.4381 Tb
0.3483 0.7415 0.5619 Tb
0.1223 0.5718 0.1836 Tb
0.8777 0.4282 0.8164 Tb
0.3884 0.0391 0.1841 Ce
0.6116 0.9609 0.8159 Ce
0.1382 0.1759 0.5477 Ge
0.8618 0.8241 0.4523 Ge
0.3884 0.3750 0.8483 Ge
0.6116 0.6250 0.1517 Ge
```

E_form in meV/atom: -521.9
Symmetry: C2/m, No. 12



(5)
DFT (GGA-PBE) results for a relaxed structure of Rb2TiFe2.

The structure in POSCAR format:
```
Rb2TiFe2
1.0
-5.6336 1.2232 -2.0943
-1.2439 -6.0039 -0.1606
-2.1277 0.2833 5.8888
Fe Rb Ti
4 4 2
direct
0.3713 0.8713 0.0000 Fe
0.8713 0.6287 0.0000 Fe
0.6287 0.1287 0.0000 Fe
0.1287 0.3713 0.0000 Fe
0.1807 0.6807 0.5000 Rb
0.6807 0.8193 0.5000 Rb
0.8193 0.3193 0.5000 Rb
0.3193 0.1807 0.5000 Rb
0.0000 0.0000 0.0000 Ti
0.5000 0.5000 0.0000 Ti
```

E_form in meV/atom: 1222.7
Symmetry: P4/mbm, No. 127



(6)
DFT (GGA-PBE) results for a relaxed structure of LiSmSi2S6.

The structure in POSCAR format:
```
LiSmSi2S6
1.0
6.2789 -0.2124 -0.2204
1.7376 8.4160 0.1326
1.7376 -0.1794 8.4151
Li Sm Si S
2 2 4 12
direct
0.2500 0.3179 0.6821 Li
0.7500 0.6821 0.3179 Li
0.2500 0.8787 0.1213 Sm
0.7500 0.1213 0.8787 Sm
0.2326 0.7827 0.6246 Si
0.2674 0.3754 0.2173 Si
0.7674 0.2173 0.3754 Si
0.7326 0.6246 0.7827 Si
0.1774 0.9647 0.7961 S
0.3226 0.2039 0.0353 S
0.8226 0.0353 0.2039 S
0.6774 0.7961 0.9647 S
0.3916 0.8570 0.4069 S
0.1084 0.5931 0.1430 S
0.6084 0.1430 0.5931 S
0.8916 0.4069 0.8570 S
0.9341 0.7094 0.5764 S
0.5659 0.4236 0.2906 S
0.0659 0.2906 0.4236 S
0.4341 0.5764 0.7094 S
```

Energy relative to the elements, uncorrected in eV/atom: -1.0552
Symmetry: C2/c, No. 15



(7)
DFT (GGA-PBE) results for a relaxed structure of CdBi3As.

The structure in POSCAR format:
```
CdBi3As
1.0
-5.3301 -1.0345 -1.3809
1.6915 -4.0172 -3.5197
-0.3402 -3.7655 4.1343
As Bi Cd
1 3 1
direct
0.5000 0.5000 0.5000 As
0.0000 0.5000 0.0000 Bi
0.0000 0.0000 0.5000 Bi
0.5000 0.0000 0.0000 Bi
0.0000 0.0000 0.0000 Cd
```

E_form in meV/atom: 877.1
Symmetry: Pm-3m, No. 221



(8)
DFT (GGA-PBE) results for a relaxed structure of Y2Ga3Rh4.

The structure in POSCAR format:
```
Y2Ga3Rh4
1.0
-1.8731 -3.1625 -4.2957
6.4143 1.0372 -3.5605
3.7379 -4.5192 5.4174
Y Ga Rh
4 6 8
direct
0.1081 0.5835 0.2161 Y
0.8919 0.4165 0.7839 Y
0.3919 0.0835 0.7839 Y
0.6081 0.9165 0.2161 Y
0.0000 0.0000 0.0000 Ga
0.5000 0.5000 0.0000 Ga
0.5220 0.7500 0.5441 Ga
0.9780 0.2500 0.4559 Ga
0.4780 0.2500 0.4559 Ga
0.0220 0.7500 0.5441 Ga
0.6897 0.7500 0.8795 Rh
0.8103 0.2500 0.1205 Rh
0.3103 0.2500 0.1205 Rh
0.1897 0.7500 0.8795 Rh
0.1790 0.9779 0.3581 Rh
0.8210 0.0221 0.6419 Rh
0.3210 0.4779 0.6419 Rh
0.6790 0.5221 0.3581 Rh
```

E_form in meV/atom: -860.4
Symmetry: Cmce, No. 64



(9)
DFT (GGA-PBE) results for a relaxed structure of SrMgSe2.

The structure in POSCAR format:
```
SrMgSe2
1.0
-6.4126 -0.9181 3.3636
-2.3062 -4.1643 -5.5333
-2.7716 -6.1382 0.9604
Sr Mg Se
2 2 4
direct
0.0000 0.0000 0.0000 Sr
0.7500 0.2500 0.5000 Sr
0.5000 0.5000 0.0000 Mg
0.2500 0.7500 0.5000 Mg
0.5757 0.1250 0.2500 Se
0.1743 0.6250 0.2500 Se
0.3750 0.4243 0.7500 Se
0.8750 0.8257 0.7500 Se
```

Energy relative to the elements, uncorrected in eV/atom: -1.5041
Symmetry: I-42d, No. 122



(10)
DFT (GGA-PBE) results for a relaxed structure of Zn2TePtW.

The structure in POSCAR format:
```
Zn2TePtW
1.0
4.7009 0.0000 0.0000
0.0000 5.4866 0.0000
0.0000 0.0000 4.7009
Zn Te W Pt
2 1 1 1
direct
0.0000 0.0000 0.5000 Zn
0.5000 0.0000 0.0000 Zn
0.0000 0.5000 0.0000 Te
0.5000 0.5000 0.5000 W
0.0000 0.0000 0.0000 Pt
```

Energy relative to the elements, uncorrected in eV/atom: 1.0388
Symmetry: P4/mmm, No. 123



(11)
DFT (GGA-PBE) results for a relaxed structure of KAcO3.

The structure in POSCAR format:
```
KAcO3
1.0
-2.4286 -2.0450 -3.3538
1.1336 -4.1401 1.7036
-3.7610 0.0727 2.6791
K Ac O
1 1 3
direct
0.0000 0.0000 0.0000 K
0.5000 0.5000 0.5000 Ac
0.5000 0.5000 0.0000 O
0.5000 0.0000 0.5000 O
0.0000 0.5000 0.5000 O
```

Energy relative to the elements, uncorrected in eV/atom: -1.7859
Symmetry: Pm-3m, No. 221



(12)
DFT (GGA-PBE) results for a relaxed structure of LaCdFe2.

The structure in POSCAR format:
```
LaCdFe2
1.0
-3.3575 -2.4996 3.2867
0.2813 -2.7996 -4.5174
1.6017 -2.3664 0.8378
Cd Fe La
1 2 1
direct
0.0000 0.5000 0.5000 Cd
0.0000 0.0000 0.0000 Fe
0.5000 0.5000 0.0000 Fe
0.5000 0.0000 0.5000 La
```

E_form in meV/atom: 548.0
Symmetry: C2/m, No. 12



(13)
DFT (GGA-PBE) results for a relaxed structure of La5PrNd2Tm.

The structure in POSCAR format:
```
La5PrNd2Tm
1.0
9.1794 0.0000 0.0000
0.0000 9.1794 0.0000
-4.5897 -4.5897 7.7143
La Pr Nd Tm
10 2 4 2
direct
0.9295 0.4295 0.2797 La
0.6498 0.1498 0.7203 La
0.0705 0.5705 0.7203 La
0.1498 0.0705 0.7203 La
0.5705 0.6498 0.7203 La
0.8502 0.9295 0.2797 La
0.4295 0.3502 0.2797 La
0.3502 0.8502 0.2797 La
0.5000 0.5000 0.0000 La
0.0000 0.0000 0.0000 La
0.2500 0.2500 0.5000 Pr
0.7500 0.7500 0.5000 Pr
0.1143 0.3857 0.0000 Nd
0.6143 0.1143 0.0000 Nd
0.3857 0.8857 0.0000 Nd
0.8857 0.6143 0.0000 Nd
0.2500 0.7500 0.5000 Tm
0.7500 0.2500 0.5000 Tm
```

E_form in meV/atom: 263.4
Symmetry: I4/mcm, No. 140



(14)
DFT (GGA-PBE) results for a relaxed structure of LiCeHoMn.

The structure in POSCAR format:
```
LiCeHoMn
1.0
-2.5607 -4.2576 0.1498
1.6476 -3.7955 2.7542
-2.4208 -1.2998 4.1421
Mn Ho Ce Li
1 1 1 1
direct
0.2500 0.2500 0.2500 Mn
0.5000 0.5000 0.5000 Ho
0.0000 0.0000 0.0000 Ce
0.7500 0.7500 0.7500 Li
```

E_form in meV/atom: 147.3
Symmetry: F-43m, No. 216



(15)
DFT (GGA-PBE) results for a relaxed structure of MgMoBr2.

The structure in POSCAR format:
```
MgMoBr2
1.0
-5.4167 1.4796 -7.8259
-7.2942 -0.8525 -6.2324
-7.5961 2.4226 -5.4042
Br Mg Mo
2 1 1
direct
0.0246 0.0246 0.0246 Br
0.2273 0.2273 0.2273 Br
0.4990 0.4990 0.4990 Mg
0.7491 0.7491 0.7491 Mo
```

Energy relative to the elements, uncorrected in eV/atom: -0.2241
Symmetry: R3m, No. 160



(16)
DFT (GGA-PBE) results for a relaxed structure of Ac2Os.

The structure in POSCAR format:
```
Ac2Os
1.0
5.1980 0.0000 0.0000
2.5990 4.5016 0.0000
2.5990 1.5005 4.2441
Ac Os
2 1
direct
0.7500 0.7500 0.7500 Ac
0.2500 0.2500 0.2500 Ac
0.0000 0.0000 0.0000 Os
```

E_form in meV/atom: 41.2
Symmetry: Fm-3m, No. 225



(17)
DFT (GGA-PBE) results for a relaxed structure of CdBiMo2.

The structure in POSCAR format:
```
CdBiMo2
1.0
-1.9077 -0.2192 -3.6336
-1.2524 -3.8123 0.8875
-10.0907 1.7672 2.8670
Mo Bi Cd
4 2 2
direct
0.5589 0.1250 0.2500 Mo
0.1911 0.6250 0.2500 Mo
0.3750 0.4411 0.7500 Mo
0.8750 0.8089 0.7500 Mo
0.0000 0.0000 0.0000 Bi
0.7500 0.2500 0.5000 Bi
0.5000 0.5000 0.0000 Cd
0.2500 0.7500 0.5000 Cd
```

E_form in meV/atom: 849.1
Symmetry: I-42d, No. 122



(18)
DFT (GGA-PBE) results for a relaxed structure of Li5Ca2Bi3H2.

The structure in POSCAR format:
```
Li5Ca2Bi3H2
1.0
4.6791 0.0000 0.0000
0.0000 4.6791 0.0000
-2.3396 -2.3396 11.0212
Li Ca Bi H
5 2 3 2
direct
0.5803 0.0803 0.1606 Li
0.4197 0.9197 0.8394 Li
0.0803 0.5803 0.1606 Li
0.9197 0.4197 0.8394 Li
0.5000 0.5000 0.0000 Li
0.6878 0.6878 0.3757 Ca
0.3122 0.3122 0.6243 Ca
0.1623 0.1623 0.3247 Bi
0.8377 0.8377 0.6753 Bi
0.0000 0.0000 0.0000 Bi
0.4154 0.4154 0.8307 H
0.5846 0.5846 0.1693 H
```

E in eV/atom: -3.208
Symmetry: I4/mmm, No. 139



(19)
DFT (GGA-PBE) results for a relaxed structure of CsCu2Se2.

The structure in POSCAR format:
```
CsCu2Se2
1.0
-6.0233 3.4023 0.1044
-0.0960 -6.4477 2.5069
4.3036 3.5554 3.9591
Cs Cu Se
2 4 4
direct
0.8751 0.6249 0.7500 Cs
0.1249 0.3751 0.2500 Cs
0.2511 0.0017 0.5010 Cu
0.5017 0.7511 0.0010 Cu
0.7489 0.9983 0.4990 Cu
0.4983 0.2489 0.9990 Cu
0.2043 0.2957 0.7500 Se
0.4545 0.0455 0.2500 Se
0.5455 0.9545 0.7500 Se
0.7957 0.7043 0.2500 Se
```

Energy relative to the elements, uncorrected in eV/atom: -0.4918
Symmetry: C2/c, No. 15



(20)
DFT (GGA-PBE) results for a relaxed structure of KLi4Os.

The structure in POSCAR format:
```
KLi4Os
1.0
-1.0096 -5.0135 -1.7188
-1.3267 -3.8495 3.5398
-5.0363 -1.9313 0.1238
K Li Os
1 4 1
direct
0.0000 0.0000 0.0000 K
0.8611 0.3796 0.3796 Li
0.3796 0.3796 0.8611 Li
0.3796 0.8611 0.3796 Li
0.3796 0.3796 0.3796 Li
0.7500 0.7500 0.7500 Os
```

E_form in meV/atom: 711.0
Symmetry: F-43m, No. 216



(21)
DFT (GGA-PBE) results for a relaxed structure of In2SbMoP.

The structure in POSCAR format:
```
In2SbMoP
1.0
-1.9721 4.4157 -2.3423
-1.2597 -2.7577 -4.1383
-4.8212 -1.0157 2.1444
Sb Mo P In
1 1 1 2
direct
0.0000 0.5000 0.0000 Sb
0.0000 0.0000 0.0000 Mo
0.5000 0.5000 0.5000 P
0.0000 0.0000 0.5000 In
0.5000 0.0000 0.0000 In
```

Energy relative to the elements, uncorrected in eV/atom: 0.8302
Symmetry: P4/mmm, No. 123



(22)
DFT (GGA-PBE) results for a relaxed structure of MnCoP4.

The structure in POSCAR format:
```
MnCoP4
1.0
4.5164 -0.0084 1.9911
2.4899 4.2338 0.4878
0.7245 1.9346 4.4828
Mn Co P
1 1 4
direct
0.0000 0.0000 0.0000 Mn
0.7500 0.7500 0.7500 Co
0.8711 0.3763 0.3763 P
0.3763 0.3763 0.8711 P
0.3763 0.8711 0.3763 P
0.3763 0.3763 0.3763 P
```

E_form in meV/atom: 717.3
Symmetry: F-43m, No. 216



(23)
DFT (GGA-PBE) results for a relaxed structure of BaAlTc.

The structure in POSCAR format:
```
BaAlTc
1.0
4.4080 0.0000 0.0000
-2.2040 3.8174 0.0000
0.0000 0.0000 4.9335
Al Ba Tc
1 1 1
direct
0.0000 0.0000 0.8333 Al
0.6667 0.3333 0.3333 Ba
0.3333 0.6667 0.8334 Tc
```

E_form in meV/atom: 454.5
Symmetry: P-6m2, No. 187